Entry 1:
Computed, not measured: an optimized crystal structure of PmY3Ho4 at the PBE level of DFT.

Lattice parameters (Å, degrees): 11.2794 7.2863 6.2913 90.00 90.00 90.00
Space group Pmn2_1 (No. 31)
Unique sites:
Pm  0.0000  0.1273  0.0000 x2
Y  0.0000  0.8732  0.4999 x2
Y  0.2502  0.1271  0.3358 x4
Ho  0.0000  0.3771  0.5041 x2
Ho  0.0000  0.6226  0.0034 x2
Ho  0.2492  0.6230  0.3345 x4

Values from the calculation:
Density ... 6.88 g/cm³
Polymorph energy (0 for the lowest one) ... 0 meV per atom


Entry 2:
Computed, not measured: an optimized crystal structure of Pr2Sm3ThAs6 at the PBE level of DFT.

Lattice parameters (Å, degrees): 18.5111 4.2554 8.5053 90.00 103.14 90.00
Space group C2/m (No. 12)
Unique sites:
Pr  0.1673  0.0000  0.3355 x4
Sm  0.0000  0.5000  0.5000 x2
Sm  0.1678  0.0000  0.8324 x4
Th  0.0000  0.5000  0.0000 x2
As  0.0014  0.0000  0.7516 x4
As  0.1652  0.5000  0.5867 x4
As  0.1658  0.5000  0.0790 x4

Values from the calculation:
Density ... 7.20 g/cm³
Total DFT energy (no corrections) ... -154.48 eV for the cell shown


Entry 3:
Computed, not measured: an optimized crystal structure of RbTi3Ag at the PBE level of DFT.

Lattice parameters (Å, degrees): 4.7234 4.7234 4.7234 90.00 90.00 90.00
Space group Pm-3m (No. 221)
Unique sites:
Rb  0.0000  0.0000  0.0000 x1
Ti  0.0000  0.0000  0.5000 x3
Ag  0.5000  0.5000  0.5000 x1

Values from the calculation:
Density ... 5.31 g/cm³
Polymorph energy (0 for the lowest one) ... 760 meV per atom


Entry 4:
Computed, not measured: an optimized crystal structure of BaLaFe2 at the PBE level of DFT.

Lattice parameters (Å, degrees): 3.9199 4.3371 13.2257 90.00 90.00 90.00
Space group Amm2 (No. 38)
Unique sites:
Ba  0.0000  0.0000  0.0000 x2
La  0.5000  0.0000  0.7400 x2
Fe  0.0000  0.0000  0.3082 x2
Fe  0.5000  0.0000  0.3737 x2

Values from the calculation:
Density ... 5.73 g/cm³
Total DFT energy (no corrections) ... -44.60 eV for the cell shown


Entry 5:
Computed, not measured: an optimized crystal structure of Nd5Sm3Er2 at the PBE level of DFT.

Lattice parameters (Å, degrees): 10.8172 14.9526 10.0752 90.00 122.42 90.00
Space group C2/c (No. 15)
Unique sites:
Nd  0.0000  0.0213  0.2500 x4
Nd  0.0000  0.2303  0.2500 x4
Nd  0.0000  0.2722  0.7500 x4
Nd  0.2434  0.3772  0.2412 x8
Sm  0.0000  0.4780  0.7500 x4
Sm  0.1515  0.1254  0.0567 x8
Er  0.1550  0.3765  0.5566 x8

Values from the calculation:
Density ... 7.28 g/cm³
Polymorph energy (0 for the lowest one) ... 0 meV per atom


Entry 6:
Computed, not measured: an optimized crystal structure of Li2Er2Hg3 at the PBE level of DFT.

Lattice parameters (Å, degrees): 3.7357 23.8127 3.5180 90.00 90.00 90.00
Space group Cmmm (No. 65)
Unique sites:
Li  0.0000  0.2120  0.0000 x4
Er  0.0000  0.0782  0.0000 x4
Hg  0.0000  0.3417  0.5000 x4
Hg  0.0000  0.5000  0.5000 x2

Values from the calculation:
Density ... 10.08 g/cm³
Total DFT energy (no corrections) ... -32.68 eV for the cell shown


Entry 7:
Computed, not measured: an optimized crystal structure of CaCu2 at the PBE level of DFT.

Lattice parameters (Å, degrees): 5.3867 5.3867 8.4644 90.00 90.00 120.00
Space group P6_3/mmc (No. 194)
Unique sites:
Ca  0.3333  0.6667  0.0582 x4
Cu  0.0000  0.0000  0.0000 x2
Cu  0.1627  0.3254  0.7500 x6

Values from the calculation:
Density ... 5.22 g/cm³
Total DFT energy (no corrections) ... -42.00 eV for the cell shown


Entry 8:
Computed, not measured: an optimized crystal structure of Cs6Rb5Hg at the PBE level of DFT.

Lattice parameters (Å, degrees): 7.8467 13.4260 20.8204 90.00 90.00 90.00
Space group Immm (No. 71)
Unique sites:
Cs  0.0000  0.1759  0.0000 x4
Cs  0.0000  0.3006  0.3525 x8
Rb  0.0000  0.0000  0.2199 x4
Rb  0.0000  0.0000  0.5000 x2
Rb  0.0000  0.5000  0.1350 x4
Hg  0.0000  0.5000  0.5000 x2

Values from the calculation:
Density ... 2.16 g/cm³
Total DFT energy (no corrections) ... -21.20 eV for the cell shown


Entry 9:
Computed, not measured: an optimized crystal structure of NaPr2Sb3Pd4 at the PBE level of DFT.

Lattice parameters (Å, degrees): 4.5580 4.5580 10.9095 90.00 90.00 90.00
Space group P-4m2 (No. 115)
Unique sites:
Na  0.0000  0.0000  0.0000 x1
Pr  0.0000  0.5000  0.7305 x2
Sb  0.0000  0.5000  0.3667 x2
Sb  0.5000  0.5000  0.0000 x1
Pd  0.0000  0.0000  0.5000 x1
Pd  0.0000  0.5000  0.1320 x2
Pd  0.5000  0.5000  0.5000 x1

Values from the calculation:
Density ... 8.03 g/cm³
Uncorrected formation energy ... -0.779 eV per atom


Entry 10:
Computed, not measured: an optimized crystal structure of Zr8ZnBi2 at the PBE level of DFT.

Lattice parameters (Å, degrees): 7.5739 13.8015 5.4994 90.00 114.83 90.00
Space group C2/m (No. 12)
Unique sites:
Zr  0.0000  0.2130  0.0000 x4
Zr  0.1014  0.5000  0.7910 x4
Zr  0.2080  0.1054  0.6781 x8
Zn  0.0000  0.0000  0.0000 x2
Bi  0.0000  0.3018  0.5000 x4

Values from the calculation:
Density ... 7.72 g/cm³
Total DFT energy (no corrections) ... -154.93 eV for the cell shown


Entry 11:
Computed, not measured: an optimized crystal structure of RbZrHgCl6 at the PBE level of DFT.

Lattice parameters (Å, degrees): 7.5419 13.0600 6.1919 90.00 90.06 90.00
Space group C2 (No. 5)
Unique sites:
Rb  0.0000  0.0000  0.0000 x2
Zr  0.0000  0.3333  0.0000 x2
Hg  0.0000  0.6667  0.5000 x2
Cl  0.1216  0.4726  0.7655 x4
Cl  0.1478  0.2029  0.7655 x4
Cl  0.2303  0.8246  0.7654 x4

Values from the calculation:
Density ... 3.21 g/cm³
Uncorrected formation energy ... -1.445 eV per atom


Entry 12:
Computed, not measured: an optimized crystal structure of AcNdH2 at the PBE level of DFT.

Lattice parameters (Å, degrees): 3.7729 3.7729 19.4573 90.00 90.00 120.00
Space group R3m (No. 160, hexagonal axes)
Unique sites:
Ac  0.0000  0.0000  0.0000 x3
Nd  0.0000  0.0000  0.8218 x3
H  0.0000  0.0000  0.2107 x3
H  0.0000  0.0000  0.4221 x3

Values from the calculation:
Density ... 7.75 g/cm³
Polymorph energy (0 for the lowest one) ... 96 meV per atom